Entry 1:
## LiNd2ZrSe5 (GGA-PBE)

Data for a geometry-optimized LiNd2ZrSe5 structure.

Calculated values
Total moment   0.0 μB per cell
Formation energy from raw total energies   -1.59 eV/atom

a b c (Å): 4.052 8.887 12.197
angles (deg): 90.00 90.00 103.18
Sites, in units of the cell vectors:
Li 0.555 0.110 0.953
Li 0.445 0.890 0.453
Nd 0.870 0.740 0.805
Nd 0.109 0.217 0.689
Nd 0.130 0.260 0.305
Nd 0.891 0.783 0.189
Zr 0.805 0.610 0.514
Zr 0.195 0.390 0.014
Se 0.357 0.713 0.002
Se 0.691 0.381 0.856
Se 0.495 0.991 0.775
Se 0.283 0.567 0.668
Se 0.950 0.899 0.561
Se 0.643 0.287 0.502
Se 0.309 0.619 0.356
Se 0.505 0.009 0.275
Se 0.717 0.433 0.168
Se 0.050 0.101 0.061


Entry 2:
## Li3Nd3ZrSe8 (GGA-PBE)

Data for a geometry-optimized Li3Nd3ZrSe8 structure.

Calculated values
Total moment   0.0 μB per cell
Formation energy from raw total energies   -1.59 eV/atom

a b c (Å): 8.315 8.314 8.082
angles (deg): 120.99 90.00 120.00
Sites, in units of the cell vectors:
Li 0.000 0.000 0.000
Li 0.000 0.500 0.000
Li 0.500 0.500 0.000
Nd 0.500 0.000 0.500
Nd 0.500 0.500 0.500
Nd 0.000 0.500 0.500
Zr 0.000 0.000 0.500
Se 0.246 0.492 0.238
Se 0.754 0.508 0.762
Se 0.763 0.526 0.253
Se 0.237 0.474 0.747
Se 0.763 0.990 0.253
Se 0.237 0.010 0.747
Se 0.227 0.990 0.253
Se 0.773 0.010 0.747


Entry 3:
## LiNd2Si3 (GGA-PBE)

Data for a geometry-optimized LiNd2Si3 structure.

Calculated values
Total moment   0.0 μB per cell
Formation energy from raw total energies   -0.67 eV/atom

a b c (Å): 5.892 5.892 8.298
angles (deg): 110.77 110.77 90.06
Sites, in units of the cell vectors:
Li 0.334 0.334 0.668
Li 0.666 0.666 0.332
Nd 0.250 0.750 0.500
Nd 0.757 0.757 0.000
Nd 0.750 0.250 0.500
Nd 0.243 0.243 0.000
Si 0.666 0.168 0.834
Si 0.832 0.334 0.166
Si 0.334 0.832 0.166
Si 0.168 0.666 0.834
Si 0.834 0.834 0.669
Si 0.166 0.166 0.331


Entry 4:
## Li2Nd2Si3 (GGA-PBE)

Data for a geometry-optimized Li2Nd2Si3 structure.

Calculated values
Total moment   0.0 μB per cell
Formation energy from raw total energies   -0.61 eV/atom

a b c (Å): 9.512 9.512 6.818
angles (deg): 90.00 90.00 153.18
Sites, in units of the cell vectors:
Li 0.189 0.811 0.061
Li 0.189 0.811 0.439
Li 0.811 0.189 0.939
Li 0.811 0.189 0.561
Nd 0.342 0.658 0.250
Nd 0.658 0.342 0.750
Nd 0.552 0.448 0.250
Nd 0.448 0.552 0.750
Si 0.720 0.280 0.250
Si 0.280 0.720 0.750
Si 0.058 0.942 0.926
Si 0.942 0.058 0.074
Si 0.942 0.058 0.426
Si 0.058 0.942 0.574


Entry 5:
## LiNd2Si2 (GGA-PBE)

Data for a geometry-optimized LiNd2Si2 structure.

Calculated values
Total moment   0.0 μB per cell
Formation energy from raw total energies   -0.56 eV/atom

a b c (Å): 4.419 5.725 5.725
angles (deg): 65.39 67.30 67.30
Sites, in units of the cell vectors:
Li 0.500 0.500 0.000
Nd 0.715 0.785 0.285
Nd 0.285 0.215 0.715
Si 0.000 0.196 0.304
Si 0.000 0.804 0.696


Entry 6:
## Li2NdSi2 (GGA-PBE)

Data for a geometry-optimized Li2NdSi2 structure.

Calculated values
Total moment   0.0 μB per cell
Formation energy from raw total energies   -0.48 eV/atom

a b c (Å): 4.132 4.132 6.298
angles (deg): 70.82 70.82 90.00
Sites, in units of the cell vectors:
Li 0.250 0.750 0.500
Li 0.750 0.250 0.500
Nd 0.000 0.000 0.000
Si 0.605 0.605 0.790
Si 0.395 0.395 0.210


Entry 7:
## LiNdSi (GGA-PBE)

Data for a geometry-optimized LiNdSi structure.

Calculated values
Total moment   0.0 μB per cell
Formation energy from raw total energies   -0.40 eV/atom

a b c (Å): 4.776 4.776 4.776
angles (deg): 60.00 60.00 60.00
Sites, in units of the cell vectors:
Si 0.250 0.250 0.250
Nd 0.000 0.000 0.000
Li 0.500 0.500 0.500


Entry 8:
## LiNdSi (GGA-PBE)

Data for a geometry-optimized LiNdSi structure.

Calculated values
Total moment   0.0 μB per cell
Formation energy from raw total energies   -0.17 eV/atom

a b c (Å): 3.356 3.356 6.161
angles (deg): 105.80 105.80 90.00
Sites, in units of the cell vectors:
Si 0.639 0.639 0.279
Nd 0.964 0.964 0.928
Li 0.247 0.247 0.493


Entry 9:
## LiNdSi4 (GGA-PBE)

Data for a geometry-optimized LiNdSi4 structure.

Calculated values
Total moment   0.0 μB per cell
Formation energy from raw total energies   -0.25 eV/atom

a b c (Å): 5.293 5.293 5.293
angles (deg): 60.00 60.00 60.00
Sites, in units of the cell vectors:
Si 0.628 0.628 0.115
Si 0.628 0.115 0.628
Si 0.628 0.628 0.628
Si 0.115 0.628 0.628
Nd 0.250 0.250 0.250
Li 0.000 0.000 0.000


Entry 10:
## LiNdSi2 (GGA-PBE)

Data for a geometry-optimized LiNdSi2 structure.

Calculated values
Total moment   0.0 μB per cell
Formation energy from raw total energies   -0.60 eV/atom

a b c (Å): 4.207 6.826 10.968
angles (deg): 90.00 90.00 90.00
Sites, in units of the cell vectors:
Li 0.750 0.366 0.057
Li 0.250 0.634 0.943
Li 0.750 0.866 0.443
Li 0.250 0.134 0.557
Nd 0.750 0.357 0.348
Nd 0.250 0.643 0.652
Nd 0.750 0.857 0.152
Nd 0.250 0.143 0.848
Si 0.250 0.031 0.335
Si 0.750 0.969 0.665
Si 0.250 0.531 0.165
Si 0.750 0.469 0.835
Si 0.250 0.185 0.141
Si 0.750 0.815 0.859
Si 0.250 0.685 0.359
Si 0.750 0.315 0.641


Entry 11:
## LiNdSi (GGA-PBE)

Data for a geometry-optimized LiNdSi structure.

Calculated values
Total moment   0.0 μB per cell
Formation energy from raw total energies   -0.53 eV/atom

a b c (Å): 4.468 4.468 7.535
angles (deg): 90.00 90.00 120.01
Sites, in units of the cell vectors:
Li 0.333 0.167 0.750
Li 0.667 0.833 0.250
Nd 0.000 0.500 0.500
Nd 0.000 0.500 0.000
Si 0.667 0.833 0.750
Si 0.333 0.167 0.250


Entry 12:
## LiNdSi (GGA-PBE)

Data for a geometry-optimized LiNdSi structure.

Calculated values
Total moment   0.0 μB per cell
Formation energy from raw total energies   -0.41 eV/atom

a b c (Å): 4.276 3.955 8.222
angles (deg): 90.01 89.99 90.00
Sites, in units of the cell vectors:
Li 0.811 0.216 0.295
Li 0.812 0.716 0.498
Nd 0.312 0.716 0.097
Nd 0.312 0.216 0.695
Si 0.812 0.216 0.982
Si 0.812 0.716 0.811